The following is a DFT calculation (GGA-PBE) of crystalline Mg2Sb2Os at its relaxed geometry. Values from VASP.

Values from the calculation:
Density of states at the Fermi level, states/eV per cell: 2.2
Raw formation energy, eV per atom: 0.139

The structure in Quantum ESPRESSO input format:
```
&SYSTEM
  ibrav = 0, nat = 10, ntyp = 3
/
ATOMIC_SPECIES
Sb 121.76 Sb.upf
Os 190.23 Os.upf
Mg 24.30 Mg.upf
CELL_PARAMETERS angstrom
-6.125 2.853 0.778
0.245 -1.293 6.673
2.099 4.299 0.756
ATOMIC_POSITIONS crystal
Sb 0.148 0.352 0.000
Sb 0.352 0.852 0.000
Sb 0.852 0.648 0.000
Sb 0.648 0.148 0.000
Os 0.000 0.000 0.000
Os 0.500 0.500 0.000
Mg 0.825 0.325 0.500
Mg 0.325 0.175 0.500
Mg 0.175 0.675 0.500
Mg 0.675 0.825 0.500
```